A plane-wave DFT calculation with PBE-GGA was carried out for a relaxed TbTc2B4 crystal.

Space group: C2/c (15)
Formation energy (meV per atom): -159
Electronic total energy (eV per atom): -7.598

```
data_TbTc2B4
_cell_length_a 6.3363
_cell_length_b 6.3363
_cell_length_c 5.7942
_cell_angle_alpha 108.71
_cell_angle_beta 108.71
_cell_angle_gamma 51.78
_symmetry_space_group_name_H-M 'P 1'
_symmetry_Int_Tables_number 1
_symmetry_space_group_name_Hall 'P 1'
loop_
_atom_site_label
_atom_site_type_symbol
_atom_site_fract_x
_atom_site_fract_y
_atom_site_fract_z
Tb1 Tb 0.2394 0.7606 0.7500
Tb2 Tb 0.7606 0.2394 0.2500
Tc1 Tc 0.1934 0.3249 0.8342
Tc2 Tc 0.3249 0.1934 0.3342
Tc3 Tc 0.6751 0.8066 0.6658
Tc4 Tc 0.8066 0.6751 0.1658
B1 B 0.0329 0.2422 0.0214
B2 B 0.2287 0.6048 0.2036
B3 B 0.2422 0.0329 0.5214
B4 B 0.3952 0.7713 0.2964
B5 B 0.6048 0.2287 0.7036
B6 B 0.7578 0.9671 0.4786
B7 B 0.7713 0.3952 0.7964
B8 B 0.9671 0.7578 0.9786
```